First-principles (PBE-GGA) data for KNa2Se2 after structural relaxation, as listed in the Alexandria database.

Its energy above the most stable polymorph in this dataset is 44.2 meV/atom. The value obtained for the formation energy from raw total energies is -0.9115 eV per atom. The calculation puts the electronic total energy at -30.52 eV per cell.

The space group is P4/mbm (No. 127) and the conventional cell measures 8.648, 8.648 and 3.348 Å, with angles of 90.00, 90.00 and 90.00 degrees. The inequivalent atoms are K at (0.000, 0.000, 0.000), Na at (0.122, 0.378, 0.000) and Se at (0.175, 0.675, 0.500).